(1)
Below is crystalline TmInPtRh at its relaxed geometry, with properties calculated at the PBE-GGA level.

Energy of formation = -0.86 eV per atom

Lattice parameters (Å, degrees): 6.6730 6.6730 6.6730 90.00 90.00 90.00
Last column: nearest neighbours and their distance in Å.
Sites, in units of the cell vectors:
Tm: 0.0000 0.0000 0.0000  4 Pt 2.89, 4 Rh 2.89
Tm: 0.0000 0.5000 0.5000  4 Pt 2.89, 4 Rh 2.89
Tm: 0.5000 0.0000 0.5000  4 Pt 2.89, 4 Rh 2.89
Tm: 0.5000 0.5000 0.0000  4 Rh 2.89, 4 Pt 2.89
In: 0.0000 0.0000 0.5000  4 Rh 2.89, 4 Pt 2.89
In: 0.0000 0.5000 0.0000  4 Rh 2.89, 4 Pt 2.89
In: 0.5000 0.0000 0.0000  4 Rh 2.89, 4 Pt 2.89
In: 0.5000 0.5000 0.5000  4 Rh 2.89, 4 Pt 2.89
Pt: 0.2500 0.2500 0.7500  4 In 2.89, 4 Tm 2.89
Pt: 0.2500 0.7500 0.2500  4 In 2.89, 4 Tm 2.89
Pt: 0.7500 0.2500 0.2500  4 In 2.89, 4 Tm 2.89
Pt: 0.7500 0.7500 0.7500  4 In 2.89, 4 Tm 2.89
Rh: 0.2500 0.2500 0.2500  4 In 2.89, 4 Tm 2.89
Rh: 0.2500 0.7500 0.7500  4 In 2.89, 4 Tm 2.89
Rh: 0.7500 0.2500 0.7500  4 In 2.89, 4 Tm 2.89
Rh: 0.7500 0.7500 0.2500  4 In 2.89, 4 Tm 2.89

***

(2)
Below is crystalline Sr5In2Pb5 at its relaxed geometry, with properties calculated at the PBE-GGA level.

Energy of formation = -0.47 eV per atom

Lattice parameters (Å, degrees): 9.5391 9.5391 10.9440 124.87 124.87 31.35
Last column: nearest neighbours and their distance in Å.
Sites, in units of the cell vectors:
Sr: 0.0000 0.0000 0.0000  4 Pb 3.38, 4 In 3.47
Sr: 0.1397 0.1397 0.4458  7 Pb 3.51-3.92, 1 In 3.67
Sr: 0.1410 0.1410 0.8346  5 Pb 3.50-3.86, 1 In 3.67
Sr: 0.8590 0.8590 0.1654  5 Pb 3.50-3.86, 1 In 3.67
Sr: 0.8603 0.8603 0.5542  7 Pb 3.51-3.92, 1 In 3.67
In: 0.3433 0.3433 0.8415  4 Pb 3.07-3.19
In: 0.6567 0.6567 0.1585  4 Pb 3.07-3.19
Pb: 0.2692 0.2692 0.2696  2 In 3.07, 1 Pb 3.41
Pb: 0.4988 0.4988 0.1990  2 In 3.18-3.19, 1 Pb 3.28, 6 Sr 3.38-3.51
Pb: 0.5000 0.5000 0.5000  4 Pb 3.28-3.41
Pb: 0.5012 0.5012 0.8010  2 In 3.18-3.19, 1 Pb 3.28, 6 Sr 3.38-3.51
Pb: 0.7308 0.7308 0.7304  2 In 3.07, 1 Pb 3.41